[1]
MoH2Pd2 meta-GGA SCAN single point on PBEsol structure; calculated total energy = -21.17 eV per atom; mass density = 9.73 g/cm3; M_tot = 0.89 μB/f.u.; density of states at the Fermi level = 6.4 states/eV per cell
1.0
2.7490 0.0000 0.0000
0.0000 6.2135 0.0000
0.0000 0.0000 6.2135
H Mo Pd
4 2 4
Direct
0.0000 0.2836 0.7836
0.0000 0.7836 0.7164
0.0000 0.7164 0.2164
0.0000 0.2164 0.2836
0.0000 0.0000 0.0000
0.0000 0.5000 0.5000
0.5000 0.1533 0.6533
0.5000 0.6533 0.8467
0.5000 0.8467 0.3467
0.5000 0.3467 0.1533


[2]
YNbPb2 meta-GGA SCAN single point on PBEsol structure; mass density = 10.56 g/cm3; M_tot = 2.51 μB/f.u.; energy of formation = -0.11 eV per atom; density of states at the Fermi level = 2.6 states/eV per cell
1.0
-3.3811 2.2050 3.1156
-4.7778 -1.7656 0.2373
-1.6058 -2.4575 4.1693
Pb Y Nb
2 1 1
Direct
0.2500 0.2500 0.2500
0.7500 0.7500 0.7500
0.0000 0.0000 0.0000
0.5000 0.5000 0.5000


[3]
KAg2Se meta-GGA SCAN single point on PBEsol structure; mass density = 6.40 g/cm3; M_tot = 0.00 μB/f.u.; formation energy (no corrections) = 0.049 eV per atom; density of states at the Fermi level = 1.0 states/eV per cell
1.0
2.9201 0.0000 0.0000
0.0000 4.9759 0.0000
0.0000 0.0000 5.9605
Ag K Se
2 1 1
Direct
0.0000 0.0000 0.7391
0.0000 0.0000 0.2609
0.5000 0.5000 0.0000
0.5000 0.5000 0.5000


[4]
K2LiRh meta-GGA SCAN single point on PBEsol structure; mass density = 2.33 g/cm3; M_tot = 0.28 μB/f.u.; energy of formation = 0.40 eV per atom; density of states at the Fermi level = 3.7 states/eV per cell
1.0
4.4092 0.0000 0.0000
-2.2046 3.8304 -0.0320
0.0000 -2.3983 7.9605
K Li Rh
2 1 1
Direct
0.9583 0.9166 0.8825
0.7923 0.5846 0.3677
0.5411 0.0822 0.6248
0.2083 0.4166 0.6249


[5]
LaMn7O12 meta-GGA SCAN single point on PBEsol structure; mass density = 5.85 g/cm3; M_tot = 28.00 μB/f.u.; formation energy (no corrections) = -2.404 eV per atom; density of states at the Fermi level = 3.0 states/eV per cell
1.0
6.4131 0.0000 0.0000
-2.1377 6.0463 0.0000
-2.1377 -3.0232 5.2363
La Mn O
1 7 12
Direct
0.0000 0.0000 0.0000
0.0000 0.0000 0.5000
0.5000 0.5000 0.5000
0.0000 0.5000 0.0000
0.0000 0.5000 0.5000
0.5000 0.0000 0.0000
0.5000 0.5000 0.0000
0.5000 0.0000 0.5000
0.8686 0.1767 0.6919
0.8233 0.3081 0.1314
0.3081 0.1314 0.8233
0.4848 0.1767 0.3081
0.8233 0.6919 0.5152
0.6919 0.8686 0.1767
0.6919 0.5152 0.8233
0.1767 0.3081 0.4848
0.1767 0.6919 0.8686
0.1314 0.8233 0.3081
0.3081 0.4848 0.1767
0.5152 0.8233 0.6919


[6]
NaTaS2N meta-GGA SCAN single point on PBEsol structure; mass density = 4.99 g/cm3; M_tot = 1.00 μB/f.u.; formation energy (no corrections) = -0.696 eV per atom; density of states at the Fermi level = 1.9 states/eV per cell
1.0
3.9797 0.0000 0.0000
0.0000 4.8574 0.0000
0.0000 0.0000 4.8574
Na S N Ta
1 2 1 1
Direct
0.5000 0.5000 0.5000
0.0000 0.0000 0.5000
0.0000 0.5000 0.0000
0.5000 0.0000 0.0000
0.0000 0.0000 0.0000